# PuZn2Pt2

A relaxed PuZn2Pt2 crystal (PBE, the Alexandria database).

a = 4.7276 Å, b = 5.8497 Å, c = 7.7951 Å
α = 92.87°, β = 70.47°, γ = 68.36°
With the nearest neighbours (Å) after each atom.
Element x y z (fractional)
Pt (0.3651, 0.2536, 0.9897)  5 Zn 2.60-2.80, 1 Pt 2.80
Pt (0.6349, 0.2464, 0.5103)  5 Zn 2.60-2.80, 1 Pt 2.80
Pt (0.6349, 0.7464, 0.0103)  5 Zn 2.60-2.80, 1 Pt 2.80
Pt (0.3651, 0.7536, 0.4897)  5 Zn 2.60-2.80, 1 Pt 2.80
Zn (0.7203, 0.3559, 0.1825)  5 Pt 2.60-2.80, 1 Zn 2.75
Zn (0.2797, 0.6441, 0.8175)  5 Pt 2.60-2.80, 1 Zn 2.75
Zn (0.2797, 0.1441, 0.3175)  5 Pt 2.60-2.80, 1 Zn 2.75
Zn (0.7203, 0.8559, 0.6825)  5 Pt 2.60-2.80, 1 Zn 2.75
Pu (0.0000, 0.2500, 0.7500)  6 Pt 2.94-2.98, 6 Zn 3.12-3.17
Pu (0.0000, 0.7500, 0.2500)  6 Pt 2.94-2.98, 6 Zn 3.12-3.17

Output
calculated total energy	-63.22	eV/cell
formation energy from the elements	-529	meV per atom
space group	P-1 (2)
DOS at the Fermi energy	21.71	states/eV per cell
energy relative to the lowest polymorph listed for this composition	0.076	eV/atom
V	18.5	A^3/atom

***

# PuZn12Pt6

A relaxed PuZn12Pt6 crystal (PBE, the Alexandria database).

a = 7.1807 Å, b = 7.1807 Å, c = 7.1807 Å
α = 104.78°, β = 104.78°, γ = 104.78°
With the nearest neighbours (Å) after each atom.
Element x y z (fractional)
Zn (0.8646, 0.6074, 0.6074)  4 Pt 2.62-2.82, 4 Zn 2.74-2.93
Zn (0.5000, 0.1106, 0.8894)  3 Zn 2.52-2.74, 4 Pt 2.54-2.59
Zn (0.8894, 0.1106, 0.5000)  3 Zn 2.52-2.74, 4 Pt 2.54-2.59
Zn (0.8894, 0.5000, 0.1106)  3 Zn 2.52-2.74, 4 Pt 2.54-2.59
Zn (0.6074, 0.6074, 0.8646)  4 Pt 2.62-2.82, 4 Zn 2.74-2.93
Zn (0.1106, 0.5000, 0.8894)  3 Zn 2.52-2.74, 4 Pt 2.54-2.59
Zn (0.3926, 0.3926, 0.1354)  4 Pt 2.62-2.82, 4 Zn 2.74-2.93
Zn (0.5000, 0.8894, 0.1106)  3 Zn 2.52-2.74, 4 Pt 2.54-2.59
Zn (0.1106, 0.8894, 0.5000)  3 Zn 2.52-2.74, 4 Pt 2.54-2.59
Zn (0.1354, 0.3926, 0.3926)  4 Pt 2.62-2.82, 4 Zn 2.74-2.93
Zn (0.6074, 0.8646, 0.6074)  4 Pt 2.62-2.82, 4 Zn 2.74-2.93
Zn (0.3926, 0.1354, 0.3926)  4 Pt 2.62-2.82, 4 Zn 2.74-2.93
Pt (0.7060, 0.2781, 0.2781)  8 Zn 2.54-2.82
Pt (0.2781, 0.2781, 0.7060)  8 Zn 2.54-2.82
Pt (0.7219, 0.7219, 0.2940)  8 Zn 2.54-2.82
Pt (0.7219, 0.2940, 0.7219)  8 Zn 2.54-2.82
Pt (0.2940, 0.7219, 0.7219)  8 Zn 2.54-2.82
Pt (0.2781, 0.7060, 0.2781)  8 Zn 2.54-2.82
Pu (0.0000, 0.0000, 0.0000)  6 Zn 3.16

Output
calculated total energy	-72.36	eV/cell
formation energy from the elements	-342	meV per atom
space group	R-3m (166)
DOS at the Fermi energy	20.76	states/eV per cell
V	17.1	A^3/atom

***

# PuZn4Pt

A relaxed PuZn4Pt crystal (PBE, the Alexandria database).

a = 3.9620 Å, b = 7.0337 Å, c = 7.8875 Å
α = 90.00°, β = 90.00°, γ = 90.00°
With the nearest neighbours (Å) after each atom.
Element x y z (fractional)
Pt (0.0000, 0.2153, 0.7500)  8 Zn 2.49-2.73
Pt (0.0000, 0.7847, 0.2500)  8 Zn 2.49-2.73
Zn (0.5000, 0.3095, 0.5460)  2 Pt 2.64, 1 Zn 2.78
Zn (0.5000, 0.6905, 0.0460)  2 Pt 2.64, 1 Zn 2.78
Zn (0.5000, 0.0508, 0.2500)  2 Pt 2.73, 8 Zn 2.82-3.00
Zn (0.5000, 0.9492, 0.7500)  2 Pt 2.73, 8 Zn 2.82-3.00
Zn (0.5000, 0.3095, 0.9540)  2 Pt 2.64, 1 Zn 2.78
Zn (0.0000, 0.0000, 0.5000)  2 Pt 2.49
Zn (0.0000, 0.0000, 0.0000)  2 Pt 2.49
Zn (0.5000, 0.6905, 0.4540)  2 Pt 2.64, 1 Zn 2.78
Pu (0.0000, 0.3830, 0.2500)  1 Pt 2.83, 6 Zn 3.06-3.10
Pu (0.0000, 0.6170, 0.7500)  1 Pt 2.83, 6 Zn 3.06-3.10

Output
calculated total energy	-54.76	eV/cell
formation energy from the elements	-319	meV per atom
space group	Pmma (51)
DOS at the Fermi energy	23.60	states/eV per cell
energy relative to the lowest polymorph listed for this composition	0.000	eV/atom
V	18.3	A^3/atom

***

# Pu3ZnPt3

A relaxed Pu3ZnPt3 crystal (PBE, the Alexandria database).

a = 4.2755 Å, b = 5.6154 Å, c = 13.7192 Å
α = 90.00°, β = 90.00°, γ = 112.38°
With the nearest neighbours (Å) after each atom.
Element x y z (fractional)
Zn (0.5000, 0.0000, 0.5000)  4 Pt 2.62
Zn (0.5000, 0.0000, 0.0000)  4 Pt 2.62
Pt (0.9183, 0.8365, 0.5916)  2 Zn 2.62, 1 Pt 2.77
Pt (0.2472, 0.4943, 0.2500)  2 Pt 2.77, 5 Pu 2.88-2.97
Pt (0.9183, 0.8365, 0.9084)  2 Zn 2.62, 1 Pt 2.77
Pt (0.0817, 0.1635, 0.4084)  2 Zn 2.62, 1 Pt 2.77
Pt (0.7528, 0.5057, 0.7500)  2 Pt 2.77, 5 Pu 2.88-2.97
Pt (0.0817, 0.1635, 0.0916)  2 Zn 2.62, 1 Pt 2.77
Pu (0.7968, 0.5937, 0.1046)  6 Pt 2.96-3.10
Pu (0.4753, 0.9507, 0.7500)  7 Pt 2.88-3.15
Pu (0.2032, 0.4063, 0.8954)  6 Pt 2.96-3.10
Pu (0.2032, 0.4063, 0.6046)  6 Pt 2.96-3.10
Pu (0.5247, 0.0493, 0.2500)  7 Pt 2.88-3.15
Pu (0.7968, 0.5937, 0.3954)  6 Pt 2.96-3.10

Output
calculated total energy	-134.64	eV/cell
formation energy from the elements	-704	meV per atom
space group	Cmcm (63)
DOS at the Fermi energy	57.71	states/eV per cell
V	21.8	A^3/atom

***

# Pu3Zn4Pt2

A relaxed Pu3Zn4Pt2 crystal (PBE, the Alexandria database).

a = 3.8335 Å, b = 5.7205 Å, c = 9.0860 Å
α = 104.41°, β = 77.82°, γ = 70.42°
With the nearest neighbours (Å) after each atom.
Element x y z (fractional)
Zn (0.1282, 0.1826, 0.5611)  3 Pt 2.69-2.85, 3 Zn 2.69-2.92
Zn (0.2071, 0.4858, 0.1000)  3 Zn 2.65-2.92, 3 Pt 2.69-2.87
Zn (0.7929, 0.5142, 0.9000)  3 Zn 2.65-2.92, 3 Pt 2.69-2.87
Zn (0.8718, 0.8174, 0.4389)  3 Pt 2.69-2.85, 3 Zn 2.69-2.92
Pt (0.5385, 0.1560, 0.7671)  6 Zn 2.69-2.87
Pt (0.4615, 0.8440, 0.2329)  6 Zn 2.69-2.87
Pu (0.0000, 0.0000, 0.0000)  2 Pu 2.85, 6 Zn 3.12-3.19, 4 Pt 3.14
Pu (0.6720, 0.3257, 0.3303)  2 Pu 2.85-2.95, 6 Zn 3.09-3.14, 2 Pt 3.10
Pu (0.3280, 0.6743, 0.6697)  2 Pu 2.85-2.95, 6 Zn 3.09-3.14, 2 Pt 3.10

Output
calculated total energy	-63.54	eV/cell
formation energy from the elements	-374	meV per atom
space group	C2/m (12)
DOS at the Fermi energy	22.28	states/eV per cell
V	19.1	A^3/atom

***

# Pu2ZnPt

A relaxed Pu2ZnPt crystal (PBE, the Alexandria database).

a = 2.9230 Å, b = 2.9230 Å, c = 11.3502 Å
α = 82.60°, β = 82.60°, γ = 60.00°
With the nearest neighbours (Å) after each atom.
Element x y z (fractional)
Pu (0.0910, 0.0910, 0.7271)  6 Pu 2.92, 3 Pt 3.06, 1 Zn 3.06
Pu (0.9090, 0.9090, 0.2729)  6 Pu 2.92, 3 Pt 3.06, 1 Zn 3.06
Zn (0.0000, 0.0000, 0.0000)  6 Zn 2.92, 2 Pu 3.06
Pt (0.5000, 0.5000, 0.5000)  6 Pt 2.92, 6 Pu 3.06

Output
calculated total energy	-35.56	eV/cell
formation energy from the elements	104	meV per atom
space group	R-3m (166)
DOS at the Fermi energy	10.18	states/eV per cell
V	20.8	A^3/atom

***

# PuZnPt2

A relaxed PuZnPt2 crystal (PBE, the Alexandria database).

a = 2.9605 Å, b = 4.9898 Å, c = 4.9898 Å
α = 90.00°, β = 90.00°, γ = 90.00°
With the nearest neighbours (Å) after each atom.
Element x y z (fractional)
Pt (0.0000, 0.0000, 0.5000)  4 Zn 2.90, 4 Pu 2.90, 2 Pt 2.96
Pt (0.0000, 0.5000, 0.0000)  4 Pu 2.90, 4 Zn 2.90, 2 Pt 2.96
Zn (0.5000, 0.0000, 0.0000)  8 Pt 2.90, 2 Zn 2.96
Pu (0.5000, 0.5000, 0.5000)  8 Pt 2.90, 2 Pu 2.96

Output
calculated total energy	-29.61	eV/cell
formation energy from the elements	-479	meV per atom
space group	P4/mmm (123)
DOS at the Fermi energy	9.41	states/eV per cell
V	18.4	A^3/atom

***

# Pu3Zn4Pt4

A relaxed Pu3Zn4Pt4 crystal (PBE, the Alexandria database).

a = 4.1117 Å, b = 7.4209 Å, c = 8.1912 Å
α = 116.93°, β = 104.54°, γ = 90.00°
With the nearest neighbours (Å) after each atom.
Element x y z (fractional)
Pu (0.8786, 0.8786, 0.7572)  6 Pt 3.02-3.05, 6 Zn 3.15-3.19
Pu (0.0000, 0.5000, 0.0000)  6 Pt 3.03-3.09
Pu (0.1214, 0.1214, 0.2428)  6 Pt 3.02-3.05, 6 Zn 3.15-3.19
Pt (0.2203, 0.7203, 0.4407)  6 Zn 2.59-2.69
Pt (0.7797, 0.2797, 0.5593)  6 Zn 2.59-2.69
Pt (0.5000, 0.8005, 0.0000)  2 Zn 2.58
Pt (0.5000, 0.1995, 0.0000)  2 Zn 2.58
Zn (0.3243, 0.5191, 0.6486)  4 Pt 2.58-2.69, 1 Zn 2.89
Zn (0.6757, 0.4809, 0.3514)  4 Pt 2.58-2.69, 1 Zn 2.89
Zn (0.3243, 0.1295, 0.6486)  4 Pt 2.58-2.69, 1 Zn 2.89
Zn (0.6757, 0.8705, 0.3514)  4 Pt 2.58-2.69, 1 Zn 2.89

Output
calculated total energy	-79.45	eV/cell
formation energy from the elements	-654	meV per atom
space group	Immm (71)
DOS at the Fermi energy	33.48	states/eV per cell
V	19.4	A^3/atom

***

# Pu2ZnPt5

A relaxed Pu2ZnPt5 crystal (PBE, the Alexandria database).

a = 6.4715 Å, b = 5.8961 Å, c = 5.8805 Å
α = 120.09°, β = 123.37°, γ = 90.02°
With the nearest neighbours (Å) after each atom.
Element x y z (fractional)
Pt (0.2672, 0.2472, 0.9690)  1 Zn 2.58, 2 Pt 2.80-2.81
Pt (0.7524, 0.7525, 0.5049)  1 Zn 2.78, 8 Pt 2.89-3.01, 2 Pu 2.95
Pt (0.2673, 0.7219, 0.9692)  1 Zn 2.58, 2 Pt 2.80-2.81
Pt (0.7017, 0.7218, 0.9690)  1 Zn 2.58, 2 Pt 2.80-2.81
Pt (0.7017, 0.2471, 0.9687)  1 Zn 2.58, 2 Pt 2.80-2.81
Zn (0.1063, 0.1063, 0.2127)  5 Pt 2.58-2.78
Pu (0.7532, 0.2532, 0.5061)  10 Pt 2.93-2.97
Pu (0.2272, 0.7271, 0.4544)  10 Pt 2.91-3.24, 2 Zn 3.10

Output
calculated total energy	-65.08	eV/cell
formation energy from the elements	-617	meV per atom
space group	Imm2 (44)
DOS at the Fermi energy	26.79	states/eV per cell
V	18.7	A^3/atom

***

# PuZn2Pt2

A relaxed PuZn2Pt2 crystal (PBE, the Alexandria database).

a = 3.9192 Å, b = 3.9192 Å, c = 6.7412 Å
α = 106.90°, β = 106.90°, γ = 90.00°
With the nearest neighbours (Å) after each atom.
Element x y z (fractional)
Pt (0.3910, 0.3910, 0.7821)  4 Zn 2.62, 1 Pt 2.68
Pt (0.6090, 0.6090, 0.2179)  4 Zn 2.62, 1 Pt 2.68
Pu (0.0000, 0.0000, 0.0000)  8 Pt 3.08
Zn (0.7500, 0.2500, 0.5000)  4 Pt 2.62, 4 Zn 2.77
Zn (0.2500, 0.7500, 0.5000)  4 Pt 2.62, 4 Zn 2.77

Output
calculated total energy	-31.99	eV/cell
formation energy from the elements	-605	meV per atom
space group	I4/mmm (139)
DOS at the Fermi energy	14.54	states/eV per cell
energy relative to the lowest polymorph listed for this composition	0.000	eV/atom
V	18.9	A^3/atom

***

# Pu2Zn12Pt5

A relaxed Pu2Zn12Pt5 crystal (PBE, the Alexandria database).

a = 6.8674 Å, b = 6.8674 Å, c = 6.8674 Å
α = 84.15°, β = 84.15°, γ = 84.15°
With the nearest neighbours (Å) after each atom.
Element x y z (fractional)
Zn (0.3518, 0.3518, 0.8455)  6 Zn 2.66-2.76, 3 Pt 2.68-2.87
Zn (0.7101, 0.2899, 0.0000)  2 Pt 2.57, 6 Zn 2.67-2.76
Zn (0.1545, 0.6482, 0.6482)  6 Zn 2.66-2.76, 3 Pt 2.68-2.87
Zn (0.3518, 0.8455, 0.3518)  6 Zn 2.66-2.76, 3 Pt 2.68-2.87
Zn (0.2899, 0.7101, 0.0000)  2 Pt 2.57, 6 Zn 2.67-2.76
Zn (0.0000, 0.2899, 0.7101)  2 Pt 2.57, 6 Zn 2.67-2.76
Zn (0.2899, 0.0000, 0.7101)  2 Pt 2.57, 6 Zn 2.67-2.76
Zn (0.0000, 0.7101, 0.2899)  2 Pt 2.57, 6 Zn 2.67-2.76
Zn (0.6482, 0.6482, 0.1545)  6 Zn 2.66-2.76, 3 Pt 2.68-2.87
Zn (0.6482, 0.1545, 0.6482)  6 Zn 2.66-2.76, 3 Pt 2.68-2.87
Zn (0.7101, 0.0000, 0.2899)  2 Pt 2.57, 6 Zn 2.67-2.76
Zn (0.8455, 0.3518, 0.3518)  6 Zn 2.66-2.76, 3 Pt 2.68-2.87
Pu (0.6680, 0.6680, 0.6680)  1 Pt 2.93
Pu (0.3320, 0.3320, 0.3320)  1 Pt 2.93
Pt (0.8925, 0.8925, 0.8925)  4 Pt 2.77-2.80, 9 Zn 2.87-3.01, 1 Pu 2.93
Pt (0.1075, 0.1075, 0.1075)  4 Pt 2.77-2.80, 9 Zn 2.87-3.01, 1 Pu 2.93
Pt (0.5000, 0.0000, 0.0000)  8 Zn 2.57-2.68, 2 Pt 2.77
Pt (0.0000, 0.5000, 0.0000)  8 Zn 2.57-2.68, 2 Pt 2.77
Pt (0.0000, 0.0000, 0.5000)  8 Zn 2.57-2.68, 2 Pt 2.77

Output
calculated total energy	-80.84	eV/cell
formation energy from the elements	-352	meV per atom
space group	R-3m (166)
DOS at the Fermi energy	31.76	states/eV per cell
V	16.8	A^3/atom

***

# PuZn9Pt2

A relaxed PuZn9Pt2 crystal (PBE, the Alexandria database).

a = 6.9590 Å, b = 8.2603 Å, c = 8.2603 Å
α = 79.78°, β = 65.09°, γ = 65.09°
With the nearest neighbours (Å) after each atom.
Element x y z (fractional)
Zn (0.4310, 0.4138, 0.8283)  5 Zn 2.56-2.68, 2 Pt 2.63-2.64
Zn (0.0093, 0.6717, 0.9138)  5 Zn 2.56-2.68, 2 Pt 2.63-2.64
Zn (0.3190, 0.6717, 0.0862)  5 Zn 2.56-2.68, 2 Pt 2.63-2.64
Zn (0.7407, 0.8283, 0.5862)  5 Zn 2.56-2.68, 2 Pt 2.63-2.64
Zn (0.5947, 0.0862, 0.3283)  5 Zn 2.56-2.68, 2 Pt 2.63-2.64
Zn (0.0770, 0.3283, 0.9138)  5 Zn 2.56-2.68, 2 Pt 2.63-2.64
Zn (0.1553, 0.1717, 0.4138)  5 Zn 2.56-2.68, 2 Pt 2.63-2.64
Zn (0.7407, 0.5862, 0.8283)  5 Zn 2.56-2.68, 2 Pt 2.63-2.64
Zn (0.3190, 0.0862, 0.6717)  5 Zn 2.56-2.68, 2 Pt 2.63-2.64
Zn (0.7500, 0.5000, 0.5000)  4 Pt 2.79, 8 Zn 2.89
Zn (0.4310, 0.8283, 0.4138)  5 Zn 2.56-2.68, 2 Pt 2.63-2.64
Zn (0.0770, 0.9138, 0.3283)  5 Zn 2.56-2.68, 2 Pt 2.63-2.64
Zn (0.5947, 0.3283, 0.0862)  5 Zn 2.56-2.68, 2 Pt 2.63-2.64
Zn (0.0093, 0.9138, 0.6717)  5 Zn 2.56-2.68, 2 Pt 2.63-2.64
Zn (0.1553, 0.4138, 0.1717)  5 Zn 2.56-2.68, 2 Pt 2.63-2.64
Zn (0.6730, 0.5862, 0.1717)  5 Zn 2.56-2.68, 2 Pt 2.63-2.64
Zn (0.0000, 0.0000, 0.0000)  4 Pt 2.79, 8 Zn 2.89
Zn (0.6730, 0.1717, 0.5862)  5 Zn 2.56-2.68, 2 Pt 2.63-2.64
Pt (0.8750, 0.2500, 0.7500)  10 Zn 2.63-2.79
Pt (0.8750, 0.7500, 0.2500)  10 Zn 2.63-2.79
Pt (0.8750, 0.2500, 0.2500)  10 Zn 2.63-2.79
Pt (0.3750, 0.7500, 0.7500)  10 Zn 2.63-2.79
Pu (0.2500, 0.5000, 0.5000)  18 Zn 3.30-3.48
Pu (0.5000, 0.0000, 0.0000)  18 Zn 3.30-3.48

Output
calculated total energy	-83.75	eV/cell
formation energy from the elements	-333	meV per atom
space group	I4_1/amd (141)
DOS at the Fermi energy	32.27	states/eV per cell
energy relative to the lowest polymorph listed for this composition	0.000	eV/atom
V	16.3	A^3/atom

***

> Look up the formation energy from the elements of the twelfth one.

-333 meV per atom

***

> formation energy from the elements of number 5 (Pu3Zn4Pt2)?

-374 meV per atom